No. 1
TbGd2Ag4Ge4: optimized geometry, PBE.

Structure (CIF):
```
data_TbGd2Ag4Ge4
_space_group_name_H-M_alt 'P 1'
_space_group_IT_number 1
_cell_length_a 8.4067
_cell_length_b 8.4067
_cell_length_c 8.4067
_cell_angle_alpha 149.89
_cell_angle_beta 129.66
_cell_angle_gamma 59.78
loop_
_space_group_symop_operation_xyz
'x,y,z'
loop_
_atom_site_label
_atom_site_type_symbol
_atom_site_fract_x
_atom_site_fract_y
_atom_site_fract_z
Tb1 Tb 0.0000 0.0000 0.0000
Gd1 Gd 0.3737 0.8737 0.5000
Gd2 Gd 0.6263 0.1263 0.5000
Ag1 Ag 0.0278 0.3303 0.6975
Ag2 Ag 0.3671 0.6697 0.6975
Ag3 Ag 0.6329 0.3303 0.3025
Ag4 Ag 0.9722 0.6697 0.3025
Ge1 Ge 0.2158 0.2158 0.0000
Ge2 Ge 0.3161 0.5000 0.8161
Ge3 Ge 0.6839 0.5000 0.1839
Ge4 Ge 0.7842 0.7842 0.0000
```



No. 2
LiHfOs: optimized geometry, PBE.

Structure (CIF):
```
data_LiHfOs
_space_group_name_H-M_alt 'P 1'
_space_group_IT_number 1
_cell_length_a 4.3407
_cell_length_b 4.3407
_cell_length_c 4.3407
_cell_angle_alpha 60.00
_cell_angle_beta 60.00
_cell_angle_gamma 60.00
loop_
_space_group_symop_operation_xyz
'x,y,z'
loop_
_atom_site_label
_atom_site_type_symbol
_atom_site_fract_x
_atom_site_fract_y
_atom_site_fract_z
Li1 Li 0.0000 0.0000 0.0000
Hf1 Hf 0.2500 0.2500 0.2500
Os1 Os 0.5000 0.5000 0.5000
```



No. 3
LiTl2Co: optimized geometry, PBE.

Structure (CIF):
```
data_LiTl2Co
_space_group_name_H-M_alt 'P 1'
_space_group_IT_number 1
_cell_length_a 4.8332
_cell_length_b 4.8332
_cell_length_c 4.8332
_cell_angle_alpha 60.00
_cell_angle_beta 60.00
_cell_angle_gamma 60.00
loop_
_space_group_symop_operation_xyz
'x,y,z'
loop_
_atom_site_label
_atom_site_type_symbol
_atom_site_fract_x
_atom_site_fract_y
_atom_site_fract_z
Li1 Li 0.0000 0.0000 0.0000
Tl1 Tl 0.2500 0.2500 0.2500
Tl2 Tl 0.5000 0.5000 0.5000
Co1 Co 0.7500 0.7500 0.7500
```



Number 1: DFT total energy -4.51 eV per atom. Number 2: DFT total energy -7.08 eV per atom. Number 3: DFT total energy -3.00 eV per atom.